(1)
First-principles (PBE) data for an optimized crystal structure of YRh2Pb2, as listed in the Alexandria database.

Values from the calculation:
The energy above the most stable polymorph in this dataset comes out at 158.1 meV per atom. For the formation energy from the elements, the calculation gives -0.25 eV per atom. For the density of states at the Fermi level, the calculation gives 1.026 states/eV per atom.

a = 7.4126 Å, b = 7.4126 Å, c = 3.9623 Å
α = 90.00°, β = 90.00°, γ = 90.00°
Closest atoms and distances in Å follow each position.
Space group P4/mbm (No. 127)
Symmetry-distinct sites (fractional):
Y: 0.0000 0.0000 0.0000 x2  4 Rh 2.89
Rh: 0.1339 0.3661 0.0000 x4  1 Rh 2.81, 2 Y 2.89, 6 Pb 2.91-2.97
Pb: 0.1630 0.6630 0.5000 x4  6 Rh 2.91-2.97

***

(2)
First-principles (PBE) data for an optimized crystal structure of NaCdSeBr, as listed in the Alexandria database.

Values from the calculation:
The uncorrected formation energy is -0.9613 eV per atom.

a = 4.7042 Å, b = 4.7042 Å, c = 6.2780 Å
α = 90.00°, β = 90.00°, γ = 120.00°
Closest atoms and distances in Å follow each position.
Space group P-6m2 (No. 187)
Symmetry-distinct sites (fractional):
Na: 0.0000 0.0000 0.0000 x1  3 Br 2.72
Cd: 0.6667 0.3333 0.5000 x1  3 Se 2.72
Se: 0.0000 0.0000 0.5000 x1  3 Cd 2.72
Br: 0.6667 0.3333 0.0000 x1  3 Na 2.72

***

(3)
First-principles (PBE) data for an optimized crystal structure of PaAg2S4, as listed in the Alexandria database.

Values from the calculation:
The uncorrected formation energy is -0.6619 eV per atom. The energy above the most stable polymorph in this dataset comes out at 69.2 meV per atom. For the density of states at the Fermi level, the calculation gives 0.724 states/eV per atom.

a = 3.8784 Å, b = 12.7506 Å, c = 12.0073 Å
α = 90.00°, β = 90.00°, γ = 90.00°
Closest atoms and distances in Å follow each position.
Space group Cmcm (No. 63)
Symmetry-distinct sites (fractional):
Pa: 0.0000 0.1085 0.2500 x4  6 S 2.71-2.74
Ag: 0.0000 0.3723 0.0656 x8  4 S 2.48-2.65
S: 0.0000 0.0000 0.0000 x4  4 Ag 2.65
S: 0.0000 0.2944 0.6258 x8  1 Ag 2.50, 2 Pa 2.74
S: 0.0000 0.4605 0.2500 x4  2 Ag 2.48, 2 Pa 2.71

***

(4)
First-principles (PBE) data for an optimized crystal structure of SeI3O, as listed in the Alexandria database.

Values from the calculation:
The uncorrected formation energy is 0.9372 eV per atom. For the density of states at the Fermi level, the calculation gives 5.765 states/eV per atom.

a = 5.6589 Å, b = 5.6589 Å, c = 5.6589 Å
α = 90.00°, β = 90.00°, γ = 90.00°
Closest atoms and distances in Å follow each position.
Space group Pm-3m (No. 221)
Symmetry-distinct sites (fractional):
Se: 0.0000 0.0000 0.0000 x1  6 I 2.83
I: 0.0000 0.0000 0.5000 x3  2 Se 2.83
O: 0.5000 0.5000 0.5000 x1  12 I 4.00

***

(5)
First-principles (PBE) data for an optimized crystal structure of Sc13Pb2, as listed in the Alexandria database.

Values from the calculation:
For the formation energy from the elements, the calculation gives -0.10 eV per atom. For the density of states at the Fermi level, the calculation gives 1.729 states/eV per atom.

a = 6.3983 Å, b = 7.8347 Å, c = 8.1437 Å
α = 67.26°, β = 77.16°, γ = 82.87°
Closest atoms and distances in Å follow each position.
Space group P-1 (No. 2)
Symmetry-distinct sites (fractional):
Sc: 0.0000 0.0000 0.0000 x1  2 Pb 3.05, 6 Sc 3.05-3.22
Sc: 0.1228 0.4781 0.7595 x2  2 Pb 3.08-3.09, 7 Sc 3.11-3.33
Sc: 0.2002 0.2196 0.1599 x2  9 Sc 3.05-3.33
Sc: 0.2735 0.9357 0.5892 x2  2 Pb 3.01-3.07, 5 Sc 3.04-3.33
Sc: 0.3184 0.6588 0.9744 x2  10 Sc 3.10-3.38
Sc: 0.3827 0.4099 0.3861 x2  2 Pb 3.19-3.25, 10 Sc 3.23-3.52
Sc: 0.4734 0.1450 0.7963 x2  1 Pb 3.03, 9 Sc 3.19-3.38
Pb: 0.0641 0.7676 0.3847 x2  8 Sc 3.01-3.25

***

(6)
First-principles (PBE) data for an optimized crystal structure of HfC2Cl4, as listed in the Alexandria database.

Values from the calculation:
The uncorrected formation energy is 0.7832 eV per atom. For the density of states at the Fermi level, the calculation gives 0.419 states/eV per atom.

a = 5.0018 Å, b = 5.0018 Å, c = 13.9621 Å
α = 90.00°, β = 90.00°, γ = 90.00°
Closest atoms and distances in Å follow each position.
Space group I4/mmm (No. 139)
Symmetry-distinct sites (fractional):
Hf: 0.0000 0.0000 0.0000 x2  6 Cl 2.45-2.50
C: 0.0000 0.0000 0.3020 x4  1 Cl 1.77
Cl: 0.0000 0.0000 0.1755 x4  1 C 1.77
Cl: 0.0000 0.5000 0.0000 x4  2 Hf 2.50

***

(7)
First-principles (PBE) data for an optimized crystal structure of LaCo3Re, as listed in the Alexandria database.

Values from the calculation:
The energy above the most stable polymorph in this dataset comes out at 0.0 meV per atom. For the formation energy from the elements, the calculation gives 0.59 eV per atom. For the density of states at the Fermi level, the calculation gives 1.351 states/eV per atom.

a = 4.5358 Å, b = 4.5358 Å, c = 4.5358 Å
α = 90.00°, β = 90.00°, γ = 90.00°
Closest atoms and distances in Å follow each position.
Space group Pm-3m (No. 221)
Symmetry-distinct sites (fractional):
La: 0.0000 0.0000 0.0000 x1  12 Co 3.21
Co: 0.0000 0.5000 0.5000 x3  2 Re 2.27
Re: 0.5000 0.5000 0.5000 x1  6 Co 2.27

***

(8)
First-principles (PBE) data for an optimized crystal structure of BaH3F6, as listed in the Alexandria database.

Values from the calculation:
The electronic total energy is -131.956 eV for the cell shown. For the density of states at the Fermi level, the calculation gives 0.757 states/eV per atom.

a = 8.4399 Å, b = 8.4399 Å, c = 6.2372 Å
α = 90.00°, β = 90.00°, γ = 120.00°
Closest atoms and distances in Å follow each position.
Space group R3m (No. 160, hexagonal axes)
Symmetry-distinct sites (fractional):
Ba: 0.0000 0.0000 0.0000 x3  9 F 2.67-2.86
H: 0.2094 0.4188 0.1527 x9  2 F 1.14-1.15
F: 0.1951 0.3903 0.9710 x9  1 H 1.15
F: 0.2184 0.4368 0.3340 x9  1 H 1.14

***

(9)
First-principles (PBE) data for an optimized crystal structure of Ho2AgCl8, as listed in the Alexandria database.

Values from the calculation:
The uncorrected formation energy is -1.5933 eV per atom. For the density of states at the Fermi level, the calculation gives 0.182 states/eV per atom.

a = 14.0105 Å, b = 6.3446 Å, c = 9.7224 Å
α = 90.00°, β = 105.89°, γ = 90.00°
Closest atoms and distances in Å follow each position.
Space group C2/m (No. 12)
Symmetry-distinct sites (fractional):
Ho: 0.2340 0.0000 0.3174 x4  4 Cl 2.43-2.60
Ag: 0.0000 0.0000 0.0000 x2  4 Cl 2.46
Cl: 0.1001 0.5000 0.7147 x4  1 Ho 2.43
Cl: 0.1193 0.2586 0.1391 x8  1 Ag 2.46, 1 Ho 2.60
Cl: 0.2137 0.0000 0.5709 x4  1 Ho 2.56

***

(10)
First-principles (PBE) data for an optimized crystal structure of LaPrSn2, as listed in the Alexandria database.

Values from the calculation:
For the formation energy from the elements, the calculation gives -0.79 eV per atom. For the density of states at the Fermi level, the calculation gives 0.823 states/eV per atom.

a = 4.4312 Å, b = 6.4181 Å, c = 8.8525 Å
α = 90.00°, β = 90.00°, γ = 90.00°
Closest atoms and distances in Å follow each position.
Space group Pmc2_1 (No. 26)
Symmetry-distinct sites (fractional):
La: 0.0000 0.1301 0.0000 x2  7 Sn 3.26-3.63
Pr: 0.5000 0.3709 0.6345 x2  7 Sn 3.29-3.61
Sn: 0.0000 0.4006 0.3578 x2  2 Sn 3.02, 1 La 3.26, 4 Pr 3.31
Sn: 0.5000 0.1016 0.2772 x2  2 Sn 3.02, 1 Pr 3.29, 4 La 3.31-3.32

***

(11)
First-principles (PBE) data for an optimized crystal structure of K4RhCl, as listed in the Alexandria database.

Values from the calculation:
The uncorrected formation energy is 0.3777 eV per atom. For the density of states at the Fermi level, the calculation gives 1.815 states/eV per atom.

a = 9.7192 Å, b = 9.7192 Å, c = 9.7192 Å
α = 90.00°, β = 90.00°, γ = 90.00°
Closest atoms and distances in Å follow each position.
Space group F-43m (No. 216)
Symmetry-distinct sites (fractional):
K: 0.1251 0.1251 0.1251 x16  6 K 3.43-3.44
Rh: 0.2500 0.2500 0.7500 x4  12 K 4.03, 4 Cl 4.21
Cl: 0.0000 0.0000 0.5000 x4  12 K 4.03, 4 Rh 4.21

***

(12)
First-principles (PBE) data for an optimized crystal structure of ErSiRh, as listed in the Alexandria database.

Values from the calculation:
The uncorrected formation energy is -0.6269 eV per atom. For the density of states at the Fermi level, the calculation gives 0.389 states/eV per atom.

a = 6.7123 Å, b = 6.7123 Å, c = 5.9155 Å
α = 90.00°, β = 90.00°, γ = 90.00°
Closest atoms and distances in Å follow each position.
Space group P4_12_12 (No. 92)
Symmetry-distinct sites (fractional):
Er: 0.2169 0.2169 0.0000 x4  4 Rh 2.90-3.22, 5 Si 3.11-3.24
Si: 0.1103 0.1103 0.5000 x4  3 Rh 2.29
Rh: 0.1480 0.8520 0.7500 x4  3 Si 2.29

***

(13)
First-principles (PBE) data for an optimized crystal structure of Ba3PaPd2O6, as listed in the Alexandria database.

Values from the calculation:
The uncorrected formation energy is -2.1157 eV per atom. For the density of states at the Fermi level, the calculation gives 0.488 states/eV per atom.

a = 6.0864 Å, b = 6.0864 Å, c = 7.0573 Å
α = 90.00°, β = 90.00°, γ = 120.00°
Closest atoms and distances in Å follow each position.
Space group P-3m1 (No. 164)
Symmetry-distinct sites (fractional):
Ba: 0.0000 0.0000 0.0000 x1  6 O 2.82
Ba: 0.3333 0.6667 0.6530 x2  9 O 2.98-3.05
Pa: 0.0000 0.0000 0.5000 x1  6 O 2.16
Pd: 0.3333 0.6667 0.1285 x2  3 O 2.23
O: 0.1635 0.3269 0.3163 x6  1 Pa 2.16, 1 Pd 2.23

***

(14)
First-principles (PBE) data for an optimized crystal structure of Rb3Tm2InS6, as listed in the Alexandria database.

Values from the calculation:
The uncorrected formation energy is -1.5005 eV per atom. For the density of states at the Fermi level, the calculation gives 0.000 states/eV per atom.

a = 6.9418 Å, b = 12.0228 Å, c = 8.0250 Å
α = 90.00°, β = 106.76°, γ = 90.00°
Closest atoms and distances in Å follow each position.
Space group C2/m (No. 12)
Symmetry-distinct sites (fractional):
Rb: 0.0000 0.0000 0.0000 x2  6 S 3.32-3.34
Rb: 0.0000 0.3332 0.0000 x4  6 S 3.32-3.34
Tm: 0.0000 0.1666 0.5000 x4  6 S 2.74
In: 0.0000 0.5000 0.5000 x2  6 S 2.72
S: 0.2284 0.3347 0.6895 x8  1 In 2.72, 2 Tm 2.74
S: 0.2325 0.0000 0.6897 x4  1 In 2.72, 2 Tm 2.74

***

(15)
First-principles (PBE) data for an optimized crystal structure of Tb2YHo2Tm, as listed in the Alexandria database.

Values from the calculation:
For the formation energy from the elements, the calculation gives 0.07 eV per atom. For the density of states at the Fermi level, the calculation gives 1.856 states/eV per atom.

a = 6.9876 Å, b = 5.5864 Å, c = 9.6276 Å
α = 90.00°, β = 90.00°, γ = 90.00°
Closest atoms and distances in Å follow each position.
Space group Pmma (No. 51)
Symmetry-distinct sites (fractional):
Tb: 0.2500 0.0000 0.1580 x2  3 Ho 3.20-3.50, 2 Tm 3.29
Tb: 0.2500 0.5000 0.6748 x2  2 Ho 3.15, 3 Tm 3.23-3.50
Y: 0.0000 0.0000 0.5000 x2  2 Y 3.49, 2 Ho 3.59, 4 Tm 3.64, 6 Tb 3.70-3.73
Ho: 0.0000 0.5000 0.0000 x2  6 Ho 3.49-3.70, 6 Tb 3.59-3.63, 2 Tm 3.71
Ho: 0.2500 0.0000 0.8257 x2  5 Tb 3.15-3.50
Tm: 0.2500 0.5000 0.3395 x2  5 Tb 3.23-3.50

***

(16)
First-principles (PBE) data for an optimized crystal structure of Ta2BeAl, as listed in the Alexandria database.

Values from the calculation:
The energy above the most stable polymorph in this dataset comes out at 344.3 meV per atom. For the formation energy from the elements, the calculation gives 0.17 eV per atom. For the density of states at the Fermi level, the calculation gives 0.536 states/eV per atom.

a = 6.2525 Å, b = 6.2525 Å, c = 6.2525 Å
α = 90.00°, β = 90.00°, γ = 90.00°
Closest atoms and distances in Å follow each position.
Space group Fm-3m (No. 225)
Symmetry-distinct sites (fractional):
Ta: 0.2500 0.2500 0.2500 x8  4 Be 2.71, 4 Al 2.71
Be: 0.0000 0.0000 0.0000 x4  8 Ta 2.71
Al: 0.0000 0.0000 0.5000 x4  8 Ta 2.71

***

(17)
First-principles (PBE) data for an optimized crystal structure of K2RbIn2, as listed in the Alexandria database.

Values from the calculation:
The energy above the most stable polymorph in this dataset comes out at 86.5 meV per atom. For the formation energy from the elements, the calculation gives 0.04 eV per atom. For the density of states at the Fermi level, the calculation gives 0.736 states/eV per atom.

a = 5.7435 Å, b = 5.7435 Å, c = 15.1006 Å
α = 90.00°, β = 90.00°, γ = 90.00°
Closest atoms and distances in Å follow each position.
Space group I4/mmm (No. 139)
Symmetry-distinct sites (fractional):
K: 0.0000 0.5000 0.2500 x4  4 In 3.73, 4 K 4.06
Rb: 0.0000 0.0000 0.0000 x2  8 In 4.30, 8 K 4.74
In: 0.0000 0.0000 0.4072 x4  1 In 2.80

***

(18)
First-principles (PBE) data for an optimized crystal structure of YLuAlOs, as listed in the Alexandria database.

Values from the calculation:
For the formation energy from the elements, the calculation gives -0.31 eV per atom. For the density of states at the Fermi level, the calculation gives 0.570 states/eV per atom.

a = 6.9197 Å, b = 6.9197 Å, c = 6.9197 Å
α = 90.00°, β = 90.00°, γ = 90.00°
Closest atoms and distances in Å follow each position.
Space group F-43m (No. 216)
Symmetry-distinct sites (fractional):
Y: 0.0000 0.0000 0.0000 x4  4 Al 3.00, 4 Os 3.00
Lu: 0.0000 0.0000 0.5000 x4  4 Os 3.00, 4 Al 3.00
Al: 0.2500 0.2500 0.7500 x4  4 Lu 3.00, 4 Y 3.00
Os: 0.2500 0.2500 0.2500 x4  4 Y 3.00, 4 Lu 3.00

***

(19)
First-principles (PBE) data for an optimized crystal structure of Dy3Te2Se2, as listed in the Alexandria database.

Values from the calculation:
The uncorrected formation energy is -1.5637 eV per atom. The energy above the most stable polymorph in this dataset comes out at 78.6 meV per atom. For the density of states at the Fermi level, the calculation gives 0.411 states/eV per atom.

a = 16.5691 Å, b = 4.1143 Å, c = 6.2605 Å
α = 90.00°, β = 93.33°, γ = 90.00°
Closest atoms and distances in Å follow each position.
Space group C2/m (No. 12)
Symmetry-distinct sites (fractional):
Dy: 0.0000 0.0000 0.0000 x2  4 Se 2.86, 2 Te 3.18
Dy: 0.1856 0.0000 0.7402 x4  2 Se 2.83, 4 Te 3.10-3.16
Te: 0.1742 0.0000 0.2425 x4  5 Dy 3.10-3.18
Se: 0.0686 0.5000 0.7488 x4  4 Dy 2.83-2.86

***

(20)
First-principles (PBE) data for an optimized crystal structure of CeDyCd14, as listed in the Alexandria database.

Values from the calculation:
For the formation energy from the elements, the calculation gives -0.12 eV per atom. For the density of states at the Fermi level, the calculation gives 0.690 states/eV per atom.

a = 6.6647 Å, b = 6.6647 Å, c = 8.4309 Å
α = 90.00°, β = 90.00°, γ = 90.00°
Closest atoms and distances in Å follow each position.
Space group P4/mmm (No. 123)
Symmetry-distinct sites (fractional):
Ce: 0.0000 0.0000 0.0000 x1  12 Cd 3.25-3.33
Dy: 0.5000 0.5000 0.0000 x1  12 Cd 3.20-3.33
Cd: 0.0000 0.0000 0.5000 x1  12 Cd 3.12-3.33
Cd: 0.0000 0.5000 0.0000 x2  8 Cd 3.22, 2 Dy 3.33, 2 Ce 3.33
Cd: 0.0000 0.5000 0.5000 x2  12 Cd 3.10-3.33
Cd: 0.2532 0.2532 0.2608 x8  10 Cd 3.08-3.38, 1 Dy 3.20, 1 Ce 3.25
Cd: 0.5000 0.5000 0.5000 x1  12 Cd 3.08-3.33

***

Listing magnetization for the structures above in their given order: 0.00, 0.00, 0.00, 0.00, 1.75, 7.94, 0.00, 3.08, 0.00, 0.00, 2.35, 0.00, 0.48, 0.00, 0.00, 0.00, 0.00, 0.00, 0.00, 1.09 μB per cell.